YZr2Sc | SCAN | single point on PBEsol structure

Geometry as POSCAR:
```
YZr2Sc
1.0
5.047 0.000 0.000
0.000 1.622 5.988
0.000 -1.622 5.988
Y Zr Sc
1 2 1
Direct
0.000 0.000 0.000
0.000 0.265 0.265
0.500 0.370 0.370
0.500 0.647 0.647
```

density	5.359	Mg/m³
distance to the lowest polymorph of the same formula	0	meV per atom
total energy	-103.34	eV for the cell shown
size of the total moment	0.00	μB/f.u.

---

Y2ZrSc | SCAN | single point on PBEsol structure

Geometry as POSCAR:
```
Y2ZrSc
1.0
3.324 0.000 0.000
0.000 3.324 0.000
0.000 0.000 9.481
Y Zr Sc
2 1 1
Direct
0.000 0.000 0.000
0.500 0.500 0.279
0.000 0.000 0.522
0.500 0.500 0.740
```

density	4.977	Mg/m³
distance to the lowest polymorph of the same formula	29	meV per atom
total energy	-100.22	eV for the cell shown
size of the total moment	0.00	μB/f.u.

---

YZrSc2 | SCAN | single point on PBEsol structure

Geometry as POSCAR:
```
YZrSc2
1.0
5.376 -1.618 0.000
5.376 1.618 0.000
-0.924 0.000 5.606
Y Zr Sc
1 1 2
Direct
0.000 0.000 0.000
0.752 0.752 0.254
0.246 0.246 0.735
0.497 0.497 0.487
```

density	4.597	Mg/m³
distance to the lowest polymorph of the same formula	36	meV per atom
total energy	-86.58	eV for the cell shown
size of the total moment	0.09	μB/f.u.

---

YZrSc2 | SCAN | single point on PBEsol structure

Geometry as POSCAR:
```
YZrSc2
1.0
5.021 0.000 0.000
0.000 1.607 6.074
0.000 -1.607 6.074
Y Zr Sc
1 1 2
Direct
0.000 0.000 0.000
0.500 0.344 0.344
0.000 0.745 0.745
0.500 0.617 0.617
```

density	4.576	Mg/m³
distance to the lowest polymorph of the same formula	0	meV per atom
total energy	-86.72	eV for the cell shown
size of the total moment	0.17	μB/f.u.

---

YZrSc2 | SCAN | single point on PBEsol structure

Geometry as POSCAR:
```
YZrSc2
1.0
3.265 0.000 0.000
0.000 4.562 0.000
0.000 0.000 6.570
Y Zr Sc
1 1 2
Direct
0.000 0.000 0.000
0.500 0.500 0.253
0.000 0.000 0.482
0.500 0.500 0.730
```

density	4.582	Mg/m³
distance to the lowest polymorph of the same formula	31	meV per atom
total energy	-86.60	eV for the cell shown
size of the total moment	0.11	μB/f.u.

---

YZrSc2 | SCAN | single point on PBEsol structure

Geometry as POSCAR:
```
YZrSc2
1.0
3.301 0.000 0.000
0.000 4.398 0.000
0.000 0.000 6.757
Y Zr Sc
1 1 2
Direct
0.000 0.000 0.000
0.000 0.000 0.500
0.500 0.500 0.274
0.500 0.500 0.726
```

density	4.572	Mg/m³
distance to the lowest polymorph of the same formula	1	meV per atom
total energy	-86.72	eV for the cell shown
size of the total moment	0.01	μB/f.u.

---

| no. | E_form (eV per formula unit) |
| --- | --- |
| 1 | 0.1 |
| 2 | 0.4 |
| 3 | 0.4 |
| 4 | 0.3 |
| 5 | 0.4 |
| 6 | 0.3 |